TiFeNi4: optimized geometry, PBE.

Cell lengths 4.676, 4.676, 4.676 Å; angles 60.00, 60.00, 60.00 degrees
Element x y z (fractional)
Ti1 0.000 0.000 0.000
Fe1 0.750 0.750 0.750
Ni1 0.375 0.375 0.375
Ni2 0.375 0.375 0.874
Ni3 0.375 0.874 0.375
Ni4 0.874 0.375 0.375

Output
Space-group type = F-43m
Formation energy = -0.192 eV/atom
Total magnetization = 3.715 μB per cell